TaAg2As | Alexandria via LeMat-Bulk | GGA-PBE | optimized geometry; DFT formation energy = 364 meV per atom
1.0
-2.319 2.319 3.276
2.319 -2.319 3.276
2.319 2.319 -3.276
Ta Ag As
1 2 1
direct
0.000 0.000 0.000
0.250 0.750 0.500
0.500 0.500 0.000
0.750 0.250 0.500



HfAlGePt2 | Alexandria via LeMat-Bulk | GGA-PBE | optimized geometry; DFT formation energy = 686 meV per atom
1.0
4.963 0.000 0.000
0.000 4.963 0.000
0.000 0.000 5.154
Hf Al Ge Pt
1 1 1 2
direct
0.000 0.000 0.000
0.500 0.500 0.500
0.000 0.000 0.500
0.000 0.500 0.000
0.500 0.000 0.000